No. 1
SmEr2Zr3N6 after structural relaxation. Source: Alexandria, functional PBE.

a b c (Å): 5.8038 10.0378 5.8530
angles (deg): 90.00 109.34 90.00
Closest atoms and distances in Å follow each position.
Space group C2/m (No. 12)
One atom of each set of equivalent atoms:
Sm 0.0000 0.0000 0.0000 (multiplicity 2)  6 N 2.47
Er 0.0000 0.3332 0.0000 (multiplicity 4)  6 N 2.41-2.42
Zr 0.0000 0.1679 0.5000 (multiplicity 4)  6 N 2.27-2.35
Zr 0.0000 0.5000 0.5000 (multiplicity 2)  6 N 2.28-2.34
N 0.2402 0.3292 0.7327 (multiplicity 8)  3 Zr 2.27-2.34, 2 Er 2.41-2.42, 1 Sm 2.47
N 0.2481 0.5000 0.2681 (multiplicity 4)  3 Zr 2.28-2.35, 2 Er 2.42, 1 Sm 2.47

The value obtained for the density of states at the Fermi level is 0.26 states/eV per atom.


No. 2
SmErZrN3 after structural relaxation. Source: Alexandria, functional PBE.

a b c (Å): 5.7937 3.3980 8.9037
angles (deg): 90.00 101.48 90.00
Closest atoms and distances in Å follow each position.
Space group P2_1/m (No. 11)
One atom of each set of equivalent atoms:
Sm 0.1592 0.2500 0.1997 (multiplicity 2)  7 N 2.58-2.68
Er 0.3525 0.2500 0.8595 (multiplicity 2)  5 N 2.27-2.38
Zr 0.2650 0.7500 0.5418 (multiplicity 2)  6 N 2.21-2.42
N 0.0472 0.2500 0.6494 (multiplicity 2)  3 Zr 2.22-2.42, 1 Er 2.30
N 0.2519 0.7500 0.0022 (multiplicity 2)  3 Er 2.27-2.38
N 0.4647 0.7500 0.3550 (multiplicity 2)  3 Zr 2.21-2.37, 1 Er 2.36

The value obtained for the density of states at the Fermi level is 0.36 states/eV per atom.


No. 3
SmEr2ZrN4 after structural relaxation. Source: Alexandria, functional PBE.

a b c (Å): 5.9037 3.4119 5.9331
angles (deg): 90.00 109.26 90.00
Closest atoms and distances in Å follow each position.
Space group P2/m (No. 10)
One atom of each set of equivalent atoms:
Sm 0.0000 0.0000 0.0000 (multiplicity 1)  6 N 2.45-2.46
Er 0.5000 0.0000 0.5000 (multiplicity 1)  6 N 2.38
Er 0.5000 0.5000 0.0000 (multiplicity 1)  6 N 2.47-2.48
Zr 0.0000 0.5000 0.5000 (multiplicity 1)  6 N 2.34-2.37
N 0.2433 0.0000 0.7359 (multiplicity 2)  2 Zr 2.37, 3 Er 2.38-2.47, 1 Sm 2.45
N 0.2503 0.5000 0.2650 (multiplicity 2)  1 Zr 2.34, 3 Er 2.38-2.48, 2 Sm 2.46

The value obtained for the density of states at the Fermi level is 0.14 states/eV per atom.


Number 1: density 8.7 g/cm3, VASP energy -219.88 eV per cell. Number 2: density 8.7 g/cm3, VASP energy -103.30 eV per cell. Number 3: density 9.3 g/cm3, VASP energy -69.17 eV per cell.